Entry 1:
Below is a crystal of Zn2ReSb relaxed with PBEsol, with properties calculated at the meta-GGA SCAN level.

a b c (Å): 5.1597 5.1597 5.1597
angles (deg): 140.60 132.31 63.52
Positions (direct):
1 Zn 0.2443 0.2443 0.0000
2 Zn 0.7557 0.7557 0.0000
3 Re 0.0000 0.5000 0.5000
4 Sb 0.5000 0.0000 0.5000

Values from the calculation:
energy = -133.58 eV per cell
uncorrected formation energy = 1.81 eV/f.u.

Entry 2:
Below is a crystal of ZnReSb3 relaxed with PBEsol, with properties calculated at the meta-GGA SCAN level.

a b c (Å): 5.1372 5.1372 5.1372
angles (deg): 90.00 90.00 90.00
Positions (direct):
1 Zn 0.0000 0.0000 0.0000
2 Re 0.5000 0.5000 0.5000
3 Sb 0.0000 0.5000 0.5000
4 Sb 0.5000 0.0000 0.5000
5 Sb 0.5000 0.5000 0.0000

Values from the calculation:
energy = -192.46 eV per cell
uncorrected formation energy = 3.94 eV/f.u.

Entry 3:
Below is a crystal of ZnRe2Sb relaxed with PBEsol, with properties calculated at the meta-GGA SCAN level.

a b c (Å): 4.8524 4.8524 4.8524
angles (deg): 131.57 131.57 70.91
Positions (direct):
1 Zn 0.0000 0.0000 0.0000
2 Re 0.5000 0.5000 0.0000
3 Re 0.7500 0.2500 0.5000
4 Sb 0.2500 0.7500 0.5000

Values from the calculation:
energy = -190.48 eV per cell
uncorrected formation energy = 2.49 eV/f.u.

Entry 4:
Below is a crystal of Zn2ReSb relaxed with PBEsol, with properties calculated at the meta-GGA SCAN level.

a b c (Å): 2.8783 2.8783 9.8405
angles (deg): 90.00 90.00 118.52
Positions (direct):
1 Zn 0.0000 0.0000 0.0000
2 Zn 0.5000 0.5000 0.2218
3 Re 0.5000 0.5000 0.7815
4 Sb 0.0000 0.0000 0.5432

Values from the calculation:
energy = -133.00 eV per cell
uncorrected formation energy = 2.39 eV/f.u.